No. 1
# BaAg3N

BaAg3N after structural relaxation (GGA-PBE, Alexandria).

Lattice parameters (Å, degrees): 6.1860 6.1860 6.1860 90.00 90.00 90.00
Fractional coordinates of all 5 atoms:
Ba 0.0000 0.0000 0.0000
Ag 0.5000 0.0000 0.0000
Ag 0.0000 0.0000 0.5000
N 0.5000 0.5000 0.5000
Ag 0.0000 0.5000 0.0000

Values from the calculation:
Energy relative to the lowest polymorph listed for this composition ... 9.00 eV per formula unit
Crystal system ... cubic
Formation energy (no corrections) ... 2.2436 eV/atom

=====

No. 2
# Tb3Pm4S8

Tb3Pm4S8 after structural relaxation (GGA-PBE, Alexandria).

Lattice parameters (Å, degrees): 7.9664 7.9576 7.9576 89.98 120.06 120.06
Fractional coordinates of all 15 atoms:
Pm 0.5000 0.0000 0.0000
S 0.0065 0.2557 0.2557
S 0.9935 0.7443 0.7443
Pm 0.0000 0.0000 0.0000
Tb 0.5000 0.5000 0.5000
Tb 0.5000 0.0000 0.5000
S 0.4943 0.7440 0.7440
S 0.5000 0.2531 0.7469
S 0.5000 0.7469 0.2531
Pm 0.0000 0.0000 0.5000
S 0.5057 0.2560 0.2560
S 0.0000 0.2526 0.7474
S 0.0000 0.7474 0.2526
Tb 0.5000 0.5000 0.0000
Pm 0.0000 0.5000 0.0000

Values from the calculation:
Crystal system ... monoclinic
Formation energy (no corrections) ... -2.0467 eV/atom

=====

No. 3
# CaZrOs2

CaZrOs2 after structural relaxation (GGA-PBE, Alexandria).

Lattice parameters (Å, degrees): 4.6500 4.6500 4.6500 60.00 60.00 60.00
Fractional coordinates of all 4 atoms:
Zr 0.2500 0.2500 0.2500
Os 0.7500 0.7500 0.7500
Ca 0.5000 0.5000 0.5000
Os 0.0000 0.0000 0.0000

Values from the calculation:
ΔH_f (0 K) ... 396 meV/atom
Crystal system ... cubic

=====

Copy entry 1 word for word.
# BaAg3N

BaAg3N after structural relaxation (GGA-PBE, Alexandria).

Lattice parameters (Å, degrees): 6.1860 6.1860 6.1860 90.00 90.00 90.00
Fractional coordinates of all 5 atoms:
Ba 0.0000 0.0000 0.0000
Ag 0.5000 0.0000 0.0000
Ag 0.0000 0.0000 0.5000
N 0.5000 0.5000 0.5000
Ag 0.0000 0.5000 0.0000

Values from the calculation:
Energy relative to the lowest polymorph listed for this composition ... 9.00 eV per formula unit
Crystal system ... cubic
Formation energy (no corrections) ... 2.2436 eV/atom